(1)
Below is crystalline BiS2O8 at its relaxed geometry, with properties calculated at the PBE level.

Summary:
The calculation puts the magnetic moment at 0.0990 μB per atom. The density of states at the Fermi level is 10.85 states/eV/cell. The uncorrected formation energy is -1145 meV per atom. The space group is P-3m1, No. 164.

a b c (Å): 6.099 5.774 5.774
angles (deg): 120.00 90.00 90.00
Site moments in Bohr magnetons follow the coordinates.
Positions (direct):
O 0.715 0.807 0.193  0.09
O 0.285 0.614 0.807  0.09
O 0.962 0.333 0.667  0.20
O 0.285 0.193 0.386  0.09
O 0.038 0.667 0.333  0.20
O 0.715 0.386 0.193  0.09
S 0.202 0.333 0.667  -0.01
O 0.285 0.193 0.807  0.09
O 0.715 0.807 0.614  0.09
Bi 0.500 0.000 0.000  -0.01
S 0.798 0.667 0.333  -0.01

---

(2)
Below is crystalline Mg2AlFe at its relaxed geometry, with properties calculated at the PBE level.

Summary:
The value obtained for the formation enthalpy at 0 K is 0.163 eV per atom. The calculation puts the magnetic moment at 0.5686 μB per atom. The density of states at the Fermi level is 2.36 states/eV/cell. The space group is Pmmm, No. 47.

a b c (Å): 2.915 4.092 5.665
angles (deg): 90.00 90.00 90.00
Site moments in Bohr magnetons follow the coordinates.
Positions (direct):
Fe 0.500 0.500 0.750  2.38
Al 0.500 0.500 0.250  -0.01
Mg 0.000 0.000 0.512  -0.02
Mg 0.000 0.000 0.988  -0.02

---

(3)
Below is crystalline Fe2AgPt at its relaxed geometry, with properties calculated at the PBE level.

Summary:
The value obtained for the formation enthalpy at 0 K is 0.098 eV per atom. The calculation puts the magnetic moment at 1.5804 μB per atom. The density of states at the Fermi level is 2.79 states/eV/cell. The space group is P4/mmm, No. 123.

a b c (Å): 3.867 3.867 3.878
angles (deg): 90.00 90.00 90.00
Site moments in Bohr magnetons follow the coordinates.
Positions (direct):
Ag 0.000 0.500 0.500  0.07
Fe 0.000 0.000 0.000  2.95
Pt 0.500 0.000 0.500  0.35
Fe 0.500 0.500 0.000  2.95

---

(4)
Below is crystalline HfUTaC3 at its relaxed geometry, with properties calculated at the PBE level.

Summary:
The value obtained for the formation enthalpy at 0 K is -0.540 eV per atom. The calculation puts the magnetic moment at 0.0000 μB per atom. The density of states at the Fermi level is 7.32 states/eV/cell. The space group is P2_1/m, No. 11.

a b c (Å): 3.291 5.654 8.613
angles (deg): 102.48 90.00 90.00
Positions (direct):
C 0.750 0.258 0.507
Ta 0.250 0.131 0.635
Ta 0.750 0.869 0.365
C 0.250 0.446 0.829
Hf 0.750 0.229 0.949
C 0.250 0.948 0.835
C 0.750 0.052 0.165
U 0.750 0.648 0.694
U 0.250 0.352 0.306
Hf 0.250 0.771 0.051
C 0.250 0.742 0.493
C 0.750 0.554 0.171

---

(5)
Below is crystalline RbPmHgI6 at its relaxed geometry, with properties calculated at the PBE level.

Summary:
The calculation puts the magnetic moment at 0.0000 μB per atom. The density of states at the Fermi level is 0.00 states/eV/cell. The uncorrected formation energy is -1032 meV per atom. The space group is C2, No. 5.

a b c (Å): 8.322 8.322 8.181
angles (deg): 93.49 86.52 55.02
Positions (direct):
I 0.411 0.980 0.783
I 0.663 0.341 0.696
Hg 0.355 0.355 0.500
I 0.980 0.411 0.217
Rb 0.997 0.997 0.000
I 0.598 0.001 0.294
I 0.001 0.598 0.706
I 0.341 0.664 0.304
Pm 0.654 0.654 0.500

---

(6)
Below is crystalline CsNaS3 at its relaxed geometry, with properties calculated at the PBE level.

Summary:
The calculation puts the magnetic moment at 0.8034 μB per atom. The density of states at the Fermi level is 4.11 states/eV/cell. The uncorrected formation energy is 116 meV per atom. The space group is Pm-3m, No. 221.

a b c (Å): 5.422 5.422 5.422
angles (deg): 90.00 90.00 90.00
Site moments in Bohr magnetons follow the coordinates.
Positions (direct):
Cs 0.500 0.500 0.500  0.01
S 0.500 0.000 0.000  0.81
S 0.000 0.500 0.000  0.81
S 0.000 0.000 0.500  0.81
Na 0.000 0.000 0.000  0.00